! SbTe2RhN, optimized geometry, DFT GGA-PBEsol; values from VASP
! **E_tot**: -4.314 eV per atom
! **Energy relative to the elements, uncorrected**: 1.341 eV per atom
&SYSTEM
  ibrav = 0, nat = 5, ntyp = 4
/
ATOMIC_SPECIES
Sb 121.76 Sb.upf
Te 127.60 Te.upf
Rh 102.91 Rh.upf
N 14.01 N.upf
ATOMIC_POSITIONS crystal
Sb 0.000 0.000 0.000
Te 0.000 0.500 0.500
Te 0.500 0.000 0.500
Rh 0.000 0.000 0.500
N 0.500 0.500 0.000
CELL_PARAMETERS angstrom
5.247 0.000 0.000
0.000 5.247 0.000
0.000 0.000 4.955